#w
! Ac3SiBr3 | Alexandria via LeMat-Bulk | GGA-PBE | relaxed; values from VASP
! space-group type = Pm-3m (221)
&SYSTEM
  ibrav = 0, nat = 7, ntyp = 3
/
ATOMIC_SPECIES
Ac 227.00 Ac.upf
Si 28.09 Si.upf
Br 79.90 Br.upf
ATOMIC_POSITIONS angstrom
Ac 3.1689 0.0000 3.1689
Ac 3.1689 3.1689 0.0000
Ac 0.0000 3.1689 3.1689
Si 3.1689 3.1689 3.1689
Br 0.0000 3.1689 0.0000
Br 0.0000 0.0000 3.1689
Br 3.1689 0.0000 0.0000
CELL_PARAMETERS angstrom
6.3378 0.0000 0.0000
0.0000 6.3378 0.0000
0.0000 0.0000 6.3378

#x
! Ac3SiBr3 | Alexandria via LeMat-Bulk | GGA-PBE | relaxed; values from VASP
! space-group type = I4_132 (214)
&SYSTEM
  ibrav = 0, nat = 28, ntyp = 3
/
ATOMIC_SPECIES
Ac 227.00 Ac.upf
Si 28.09 Si.upf
Br 79.90 Br.upf
ATOMIC_POSITIONS angstrom
Ac -5.8397 -7.0852 1.2023
Ac -5.1552 -1.0324 0.6504
Ac -3.4538 2.2823 3.0320
Ac -3.3888 -10.7104 0.5659
Ac -8.4315 -3.5721 1.9056
Ac -6.8923 -4.2218 -1.8723
Ac -4.3865 -3.7272 3.6853
Ac -1.8976 -7.6501 2.9056
Ac -2.8093 -4.6745 -0.2358
Ac -1.1459 -1.0621 2.2891
Ac -6.6967 -0.2103 4.7127
Ac -2.8976 -0.4943 6.3094
Si -3.0633 -7.7075 0.0772
Si -3.9559 -0.7073 3.4465
Si -5.5858 -4.0522 0.8893
Si -0.6438 1.9276 1.8746
Br 2.6873 -0.6271 11.0146
Br -3.0844 -3.6982 6.7534
Br -1.4447 -0.2750 9.3012
Br -0.7166 5.9408 8.5291
Br 2.6672 -4.6693 4.3579
Br -1.3817 -4.3665 2.6562
Br -2.3058 2.6792 6.0355
Br 0.2069 -1.0545 5.2330
Br -0.6247 -7.2625 5.9616
Br 1.7850 2.2943 7.7685
Br 4.3278 -1.3194 6.9883
Br 1.0261 -3.9265 8.4675
CELL_PARAMETERS angstrom
-9.0943 -5.6693 -2.7305
7.5150 -6.9112 4.2503
-2.5750 7.7102 7.4984

The data favor #x; the next most stable structure lies 77 meV per atom above it.

#w
! Ac2SiBr | Alexandria via LeMat-Bulk | GGA-PBE | relaxed; values from VASP
! space-group type = Fm-3m (225)
&SYSTEM
  ibrav = 0, nat = 4, ntyp = 3
/
ATOMIC_SPECIES
Ac 227.00 Ac.upf
Si 28.09 Si.upf
Br 79.90 Br.upf
ATOMIC_POSITIONS angstrom
Ac 2.7578 1.5922 1.1259
Ac 8.2734 4.7766 3.3776
Si 0.0000 0.0000 0.0000
Br 5.5156 3.1844 2.2517
CELL_PARAMETERS angstrom
5.5156 0.0000 0.0000
2.7578 4.7766 0.0000
2.7578 1.5922 4.5035

#x
! Ac2SiBr | Alexandria via LeMat-Bulk | GGA-PBE | relaxed; values from VASP
! space-group type = R-3m (166)
&SYSTEM
  ibrav = 0, nat = 4, ntyp = 3
/
ATOMIC_SPECIES
Ac 227.00 Ac.upf
Si 28.09 Si.upf
Br 79.90 Br.upf
ATOMIC_POSITIONS angstrom
Ac 2.2876 1.3208 1.6334
Ac 6.8629 3.9623 5.9985
Si 0.0000 0.0000 0.0000
Br 4.5753 2.6415 3.8160
CELL_PARAMETERS angstrom
4.5753 0.0000 0.0000
2.2876 3.9623 0.0000
2.2876 1.3208 7.6319

#y
! Ac2SiBr | Alexandria via LeMat-Bulk | GGA-PBE | relaxed; values from VASP
! space-group type = C2/c (15)
&SYSTEM
  ibrav = 0, nat = 16, ntyp = 3
/
ATOMIC_SPECIES
Ac 227.00 Ac.upf
Si 28.09 Si.upf
Br 79.90 Br.upf
ATOMIC_POSITIONS angstrom
Ac -2.8556 -4.4427 3.5478
Ac -0.8638 -0.0721 1.8827
Ac -6.7483 4.7638 -0.2083
Ac -8.7401 0.3932 1.4568
Ac -4.6926 1.9092 3.3292
Ac -2.6708 -0.7621 6.4813
Ac -4.9113 -1.5881 0.0102
Ac -6.9331 1.0832 -3.1418
Si -2.0390 -0.6186 -0.9430
Si -7.5649 0.9397 4.2824
Si -3.6204 2.2517 6.2050
Si -5.9835 -1.9306 -2.8656
Br -3.7418 -1.2027 3.2322
Br -5.7653 4.9920 3.0868
Br -5.8621 1.5238 0.1072
Br -3.8387 -4.6709 0.2527
CELL_PARAMETERS angstrom
-4.0298 -4.7867 -4.9053
0.2250 -3.2028 7.3531
-5.7991 8.3105 0.8917

#z
! Ac2SiBr | Alexandria via LeMat-Bulk | GGA-PBE | relaxed; values from VASP
! space-group type = P4/mmm (123)
&SYSTEM
  ibrav = 0, nat = 4, ntyp = 3
/
ATOMIC_SPECIES
Ac 227.00 Ac.upf
Si 28.09 Si.upf
Br 79.90 Br.upf
ATOMIC_POSITIONS angstrom
Ac -3.2357 3.8958 3.8311
Ac -0.9043 1.0888 1.0707
Si -2.0678 0.0395 -1.7867
Br -4.1379 2.5318 0.6643
CELL_PARAMETERS angstrom
-0.9479 2.1975 -3.0351
-3.1878 -2.1184 -0.5382
-4.1400 4.9846 4.9018

The data favor #x; the next most stable structure lies 14 meV per atom above it.

#w
! Ac3SnBr3 | Alexandria via LeMat-Bulk | GGA-PBE | relaxed; values from VASP
! space-group type = I4_132 (214)
&SYSTEM
  ibrav = 0, nat = 28, ntyp = 3
/
ATOMIC_SPECIES
Ac 227.00 Ac.upf
Sn 118.71 Sn.upf
Br 79.90 Br.upf
ATOMIC_POSITIONS angstrom
Ac 7.9312 4.5908 -2.8256
Ac 5.3388 0.0876 0.9444
Ac 2.6434 0.0429 4.6498
Ac 6.6179 6.9439 -6.5334
Ac 9.3176 2.2809 0.8791
Ac 8.0347 0.0524 -2.7601
Ac 5.3338 4.5436 0.9463
Ac 4.0488 6.9399 -2.8959
Ac 4.0778 2.3574 -2.8294
Ac 1.3552 2.2713 1.0110
Ac 6.5946 2.3570 4.7203
Ac 2.7371 4.5822 4.7177
Sn 5.3365 4.6301 -4.7147
Sn 3.9999 2.3131 2.8302
Sn 6.6728 2.3181 -0.9395
Sn -0.0009 0.0010 2.8307
Br -2.6880 9.2298 6.5948
Br 3.9902 6.9454 2.8187
Br 1.3143 6.9225 6.6085
Br -1.3364 2.3064 10.3680
Br -1.3332 6.9226 -0.9433
Br 2.6540 4.6321 -0.9443
Br 1.3234 2.3130 6.6169
Br -0.0062 4.6358 2.8321
Br 2.6638 9.2402 -0.9284
Br -2.6669 4.6217 6.6089
Br -4.0089 6.9354 2.8461
Br -0.0116 9.2249 2.8333
CELL_PARAMETERS angstrom
10.6806 0.0142 -3.7720
-5.3485 9.2392 -3.7725
-0.0050 -0.0052 11.3225

#x
! Ac3SnBr3 | Alexandria via LeMat-Bulk | GGA-PBE | relaxed; values from VASP
! space-group type = Pm-3m (221)
&SYSTEM
  ibrav = 0, nat = 7, ntyp = 3
/
ATOMIC_SPECIES
Ac 227.00 Ac.upf
Sn 118.71 Sn.upf
Br 79.90 Br.upf
ATOMIC_POSITIONS angstrom
Ac -0.8473 -3.2917 3.0998
Ac 2.7016 -3.7177 0.2041
Ac 2.8423 -0.5847 3.5695
Sn 2.3483 -3.7970 3.4367
Br 3.1956 -0.5053 0.3369
Br -0.3533 -0.0793 3.2326
Br -0.4940 -3.2124 -0.1328
CELL_PARAMETERS angstrom
-0.9880 -6.4247 -0.2656
6.3913 -1.0107 0.6738
-0.7067 -0.1586 6.4652

The data favor #w; the next most stable structure lies 28 meV per atom above it.

#w
! SrAcBr | Alexandria via LeMat-Bulk | GGA-PBE | relaxed; values from VASP
! space-group type = P-6m2 (187)
&SYSTEM
  ibrav = 0, nat = 6, ntyp = 3
/
ATOMIC_SPECIES
Br 79.90 Br.upf
Ac 227.00 Ac.upf
Sr 87.62 Sr.upf
ATOMIC_POSITIONS angstrom
Br -0.2420 3.0570 4.4596
Br 1.7011 5.5249 8.3077
Ac 3.9363 8.3638 12.7344
Ac 1.6729 2.3016 7.1839
Sr -0.2554 -0.1476 3.3650
Sr 3.6008 4.7502 11.0019
CELL_PARAMETERS angstrom
-3.0937 2.6226 -0.1198
-0.2642 -3.3463 2.2795
6.4135 8.1458 12.7015

#x
! SrAcBr | Alexandria via LeMat-Bulk | GGA-PBE | relaxed; values from VASP
! space-group type = P3m1 (156)
&SYSTEM
  ibrav = 0, nat = 3, ntyp = 3
/
ATOMIC_SPECIES
Sr 87.62 Sr.upf
Ac 227.00 Ac.upf
Br 79.90 Br.upf
ATOMIC_POSITIONS angstrom
Sr 2.0650 1.1922 3.0360
Ac 0.0000 0.0000 7.8840
Br 0.0000 2.3845 5.3795
CELL_PARAMETERS angstrom
4.1300 0.0000 0.0000
-2.0650 3.5767 0.0000
0.0000 0.0000 8.1497

The data favor #w; the next most stable structure lies 6 meV per atom above it.

#w
! AcTbBr | Alexandria via LeMat-Bulk | GGA-PBE | relaxed; values from VASP
! space-group type = Aem2 (39)
&SYSTEM
  ibrav = 0, nat = 12, ntyp = 3
/
ATOMIC_SPECIES
Tb 158.93 Tb.upf
Br 79.90 Br.upf
Ac 227.00 Ac.upf
ATOMIC_POSITIONS angstrom
Tb 6.0536 3.8932 4.7500
Tb 2.7245 0.0005 12.6544
Tb 6.0536 1.9464 12.6544
Tb 2.7245 1.9474 4.7500
Br 1.6178 0.0007 6.6784
Br 4.9469 3.8930 10.7261
Br 1.6178 1.9476 10.7261
Br 4.9469 1.9462 6.6784
Ac 0.5114 1.9462 1.7279
Ac 3.8405 1.9475 15.6765
Ac 0.5114 3.8931 15.6765
Ac 3.8405 0.0007 1.7279
CELL_PARAMETERS angstrom
6.6581 0.0000 0.0000
0.0000 3.8937 0.0000
0.0000 0.0000 17.4044

#x
! AcTbBr | Alexandria via LeMat-Bulk | GGA-PBE | relaxed; values from VASP
! space-group type = P3m1 (156)
&SYSTEM
  ibrav = 0, nat = 3, ntyp = 3
/
ATOMIC_SPECIES
Ac 227.00 Ac.upf
Tb 158.93 Tb.upf
Br 79.90 Br.upf
ATOMIC_POSITIONS angstrom
Ac 6.0060 0.0632 5.1794
Tb 0.9847 -1.1750 3.3427
Br 3.9126 -2.1940 3.2506
CELL_PARAMETERS angstrom
-2.5266 -0.1621 2.9317
1.3752 -3.2706 -1.5547
6.0273 0.0635 5.1979

The data favor #w; the next most stable structure lies 48 meV per atom above it.

#w
! Ac2TbBr | Alexandria via LeMat-Bulk | GGA-PBE | relaxed; values from VASP
! space-group type = R-3m (166)
&SYSTEM
  ibrav = 0, nat = 4, ntyp = 3
/
ATOMIC_SPECIES
Ac 227.00 Ac.upf
Tb 158.93 Tb.upf
Br 79.90 Br.upf
ATOMIC_POSITIONS angstrom
Ac 5.8882 3.3996 8.6490
Ac 1.9627 1.1332 2.6061
Tb 3.9255 2.2664 5.6276
Br 0.0000 0.0000 0.0000
CELL_PARAMETERS angstrom
3.9255 0.0000 0.0000
1.9627 3.3996 0.0000
1.9627 1.1332 11.2551

#x
! Ac2TbBr | Alexandria via LeMat-Bulk | GGA-PBE | relaxed; values from VASP
! space-group type = P4/mmm (123)
&SYSTEM
  ibrav = 0, nat = 4, ntyp = 3
/
ATOMIC_SPECIES
Ac 227.00 Ac.upf
Tb 158.93 Tb.upf
Br 79.90 Br.upf
ATOMIC_POSITIONS angstrom
Ac 0.0000 0.0000 7.6895
Ac 0.0000 0.0000 2.4268
Tb 1.9159 1.9159 5.0582
Br 1.9159 1.9159 0.0000
CELL_PARAMETERS angstrom
3.8319 0.0000 0.0000
0.0000 3.8319 0.0000
0.0000 0.0000 10.1163

The data favor #w; the next most stable structure lies 47 meV per atom above it.